First-principles (SCAN) data for a crystal of LiHPd2 relaxed with PBEsol, as listed in Alexandria via LeMat-Bulk.

Summary:
- V (Å³/f.u.) = 45.65
- size of the total moment (μB per atom) = 0.00
- final energy (eV/atom) = -18.106

CIF file:
```
data_LiHPd2
_chemical_formula_sum 'Li4 H4 Pd8'
_space_group_name_H-M_alt 'I -4 2 d'
_space_group_IT_number 122
_space_group_name_Hall 'I -4 2bw'
_cell_length_a 6.0664
_cell_length_b 6.0664
_cell_length_c 4.9622
_cell_angle_alpha 90.00
_cell_angle_beta 90.00
_cell_angle_gamma 90.00
loop_
_atom_site_label
_atom_site_fract_x
_atom_site_fract_y
_atom_site_fract_z
Li1 0.0000 0.0000 0.0000
H1 0.0000 0.0000 0.5000
Pd1 0.1416 0.2500 0.6250
```

=====

First-principles (SCAN) data for a crystal of Zn5Ag relaxed with PBEsol, as listed in Alexandria via LeMat-Bulk.

Summary:
- V (Å³/f.u.) = 87.02
- formation energy (eV/atom) = 0.03
- size of the total moment (μB per atom) = 0.00
- final energy (eV/atom) = -16.465

CIF file:
```
data_Zn5Ag
_chemical_formula_sum 'Zn20 Ag4'
_space_group_name_H-M_alt 'F -4 3 m'
_space_group_IT_number 216
_space_group_name_Hall 'F -4 2 3'
_cell_length_a 7.0345
_cell_length_b 7.0345
_cell_length_c 7.0345
_cell_angle_alpha 90.00
_cell_angle_beta 90.00
_cell_angle_gamma 90.00
loop_
_atom_site_label
_atom_site_fract_x
_atom_site_fract_y
_atom_site_fract_z
Zn1 0.0000 0.0000 0.0000
Zn2 0.1249 0.1249 0.3751
Ag1 0.2500 0.2500 0.7500
```

=====

First-principles (SCAN) data for a crystal of TiInSi3 relaxed with PBEsol, as listed in Alexandria via LeMat-Bulk.

Summary:
- V (Å³/f.u.) = 120.94
- ΔE_f (raw) (meV per atom) = 1560
- size of the total moment (μB per atom) = 0.44
- final energy (eV/atom) = -14.332

CIF file:
```
data_TiInSi3
_chemical_formula_sum 'Ti1 In1 Si3'
_space_group_name_H-M_alt 'P m -3 m'
_space_group_IT_number 221
_space_group_name_Hall '-P 4 2 3'
_cell_length_a 4.9452
_cell_length_b 4.9452
_cell_length_c 4.9452
_cell_angle_alpha 90.00
_cell_angle_beta 90.00
_cell_angle_gamma 90.00
loop_
_atom_site_label
_atom_site_fract_x
_atom_site_fract_y
_atom_site_fract_z
Ti1 0.0000 0.0000 0.0000
In1 0.5000 0.5000 0.5000
Si1 0.0000 0.5000 0.5000
```

=====

First-principles (SCAN) data for a crystal of ScInF2 relaxed with PBEsol, as listed in Alexandria via LeMat-Bulk.

Summary:
- V (Å³/f.u.) = 61.60
- ΔE_f (raw) (meV per atom) = -1637
- size of the total moment (μB per atom) = 0.49
- final energy (eV/atom) = -15.313

CIF file:
```
data_ScInF2
_chemical_formula_sum 'Sc4 In4 F8'
_space_group_name_H-M_alt 'F m -3 m'
_space_group_IT_number 225
_space_group_name_Hall '-F 4 2 3'
_cell_length_a 6.2691
_cell_length_b 6.2691
_cell_length_c 6.2691
_cell_angle_alpha 90.00
_cell_angle_beta 90.00
_cell_angle_gamma 90.00
loop_
_atom_site_label
_atom_site_fract_x
_atom_site_fract_y
_atom_site_fract_z
Sc1 0.0000 0.0000 0.0000
In1 0.0000 0.0000 0.5000
F1 0.2500 0.2500 0.2500
```

=====

First-principles (SCAN) data for a crystal of Li2SiSe relaxed with PBEsol, as listed in Alexandria via LeMat-Bulk.

Summary:
- V (Å³/f.u.) = 63.14
- ΔE_f (raw) (meV per atom) = -364
- size of the total moment (μB per atom) = 0.00
- final energy (eV/atom) = -9.082

CIF file:
```
data_Li2SiSe
_chemical_formula_sum 'Li4 Si2 Se2'
_space_group_name_H-M_alt 'I 4/m m m'
_space_group_IT_number 139
_space_group_name_Hall '-I 4 2'
_cell_length_a 3.9383
_cell_length_b 3.9383
_cell_length_c 8.1419
_cell_angle_alpha 90.00
_cell_angle_beta 90.00
_cell_angle_gamma 90.00
loop_
_atom_site_label
_atom_site_fract_x
_atom_site_fract_y
_atom_site_fract_z
Li1 0.0000 0.5000 0.2500
Si1 0.0000 0.0000 0.0000
Se1 0.0000 0.0000 0.5000
```

=====

First-principles (SCAN) data for a crystal of ZnOs2Se relaxed with PBEsol, as listed in Alexandria via LeMat-Bulk.

Summary:
- V (Å³/f.u.) = 59.32
- ΔE_f (raw) (meV per atom) = 789
- size of the total moment (μB per atom) = 0.41
- final energy (eV/atom) = -43.549

CIF file:
```
data_ZnOs2Se
_chemical_formula_sum 'Zn1 Os2 Se1'
_space_group_name_H-M_alt 'P m m m'
_space_group_IT_number 47
_space_group_name_Hall '-P 2 2'
_cell_length_a 2.8202
_cell_length_b 4.4743
_cell_length_c 4.7012
_cell_angle_alpha 90.00
_cell_angle_beta 90.00
_cell_angle_gamma 90.00
loop_
_atom_site_label
_atom_site_fract_x
_atom_site_fract_y
_atom_site_fract_z
Zn1 0.0000 0.0000 0.0000
Os1 0.0000 0.5000 0.5000
Os2 0.5000 0.5000 0.0000
Se1 0.5000 0.0000 0.5000
```

=====

First-principles (SCAN) data for a crystal of Ir2RhCl relaxed with PBEsol, as listed in Alexandria via LeMat-Bulk.

Summary:
- V (Å³/f.u.) = 57.09
- ΔE_f (raw) (meV per atom) = 1018
- size of the total moment (μB per atom) = 0.00
- final energy (eV/atom) = -44.969

CIF file:
```
data_Ir2RhCl
_chemical_formula_sum 'Ir4 Rh2 Cl2'
_space_group_name_H-M_alt 'C m m m'
_space_group_IT_number 65
_space_group_name_Hall '-C 2 2'
_cell_length_a 5.6617
_cell_length_b 7.4243
_cell_length_c 2.7162
_cell_angle_alpha 90.00
_cell_angle_beta 90.00
_cell_angle_gamma 90.00
loop_
_atom_site_label
_atom_site_fract_x
_atom_site_fract_y
_atom_site_fract_z
Ir1 0.2500 0.2500 0.0000
Rh1 0.0000 0.0000 0.5000
Cl1 0.0000 0.5000 0.5000
```

=====

First-principles (SCAN) data for a crystal of SiOsSe2 relaxed with PBEsol, as listed in Alexandria via LeMat-Bulk.

Summary:
- V (Å³/f.u.) = 76.63
- ΔE_f (raw) (meV per atom) = 137
- size of the total moment (μB per atom) = 0.00
- final energy (eV/atom) = -30.376

CIF file:
```
data_SiOsSe2
_chemical_formula_sum 'Si2 Os2 Se4'
_space_group_name_H-M_alt 'C m m m'
_space_group_IT_number 65
_space_group_name_Hall '-C 2 2'
_cell_length_a 4.7040
_cell_length_b 8.5628
_cell_length_c 3.8047
_cell_angle_alpha 90.00
_cell_angle_beta 90.00
_cell_angle_gamma 90.00
loop_
_atom_site_label
_atom_site_fract_x
_atom_site_fract_y
_atom_site_fract_z
Si1 0.0000 0.0000 0.0000
Os1 0.0000 0.5000 0.0000
Se1 0.0000 0.3135 0.5000
```

=====

First-principles (SCAN) data for a crystal of Ti2FeCo relaxed with PBEsol, as listed in Alexandria via LeMat-Bulk.

Summary:
- V (Å³/f.u.) = 50.11
- formation energy (eV/atom) = -0.41
- size of the total moment (μB per atom) = 0.25
- final energy (eV/atom) = -17.288

CIF file:
```
data_Ti2FeCo
_chemical_formula_sum 'Ti8 Fe4 Co4'
_space_group_name_H-M_alt 'F m -3 m'
_space_group_IT_number 225
_space_group_name_Hall '-F 4 2 3'
_cell_length_a 5.8522
_cell_length_b 5.8522
_cell_length_c 5.8522
_cell_angle_alpha 90.00
_cell_angle_beta 90.00
_cell_angle_gamma 90.00
loop_
_atom_site_label
_atom_site_fract_x
_atom_site_fract_y
_atom_site_fract_z
Ti1 0.2500 0.2500 0.2500
Fe1 0.0000 0.0000 0.0000
Co1 0.0000 0.0000 0.5000
```

=====

First-principles (SCAN) data for a crystal of BaLiAl2 relaxed with PBEsol, as listed in Alexandria via LeMat-Bulk.

Summary:
- V (Å³/f.u.) = 100.95
- formation energy (eV/atom) = 0.22
- size of the total moment (μB per atom) = 0.00
- final energy (eV/atom) = -14.140

CIF file:
```
data_BaLiAl2
_chemical_formula_sum 'Ba1 Li1 Al2'
_space_group_name_H-M_alt 'P 4/m m m'
_space_group_IT_number 123
_space_group_name_Hall '-P 4 2'
_cell_length_a 4.4117
_cell_length_b 4.4117
_cell_length_c 5.1868
_cell_angle_alpha 90.00
_cell_angle_beta 90.00
_cell_angle_gamma 90.00
loop_
_atom_site_label
_atom_site_fract_x
_atom_site_fract_y
_atom_site_fract_z
Ba1 0.0000 0.0000 0.0000
Li1 0.5000 0.5000 0.0000
Al1 0.0000 0.5000 0.5000
```

=====

Number 1: DOS at the Fermi energy 0.78 states/eV/f.u.. Number 2: DOS at the Fermi energy 1.24 states/eV/f.u.. Number 3: DOS at the Fermi energy 3.81 states/eV/f.u.. Number 4: DOS at the Fermi energy 1.54 states/eV/f.u.. Number 5: DOS at the Fermi energy 1.14 states/eV/f.u.. Number 6: DOS at the Fermi energy 2.97 states/eV/f.u.. Number 7: DOS at the Fermi energy 4.00 states/eV/f.u.. Number 8: DOS at the Fermi energy 0.74 states/eV/f.u.. Number 9: DOS at the Fermi energy 2.04 states/eV/f.u.. Number 10: DOS at the Fermi energy 3.39 states/eV/f.u..